1.
Entry from OQMD via LeMat-Bulk: a relaxed Nb2Sn2Te crystal (GGA-PBE).

- final energy (eV per atom) = -6.06
- V (Å³ per atom) = 22.64

a = 7.695 Å, b = 7.695 Å, c = 7.695 Å
α = 150.06°, β = 150.06°, γ = 42.86°
Element x y z (fractional)
Nb1 0.401 0.401 0.000
Nb2 0.599 0.599 0.000
Sn1 0.750 0.250 0.500
Sn2 0.250 0.750 0.500
Te1 0.000 0.000 0.000


2.
Entry from OQMD via LeMat-Bulk: a relaxed NbSnTe crystal (GGA-PBE).

- final energy (eV per atom) = -5.06
- V (Å³ per atom) = 26.74

a = 4.841 Å, b = 4.841 Å, c = 4.841 Å
α = 60.00°, β = 60.00°, γ = 60.00°
Element x y z (fractional)
Nb1 0.250 0.250 0.250
Sn1 0.750 0.750 0.750
Te1 0.000 0.000 0.000


3.
Entry from OQMD via LeMat-Bulk: a relaxed NbTlSn crystal (GGA-PBE).

- distance to the lowest polymorph of the same formula (meV per atom) = 0
- V (Å³ per atom) = 26.38

a = 4.819 Å, b = 4.819 Å, c = 4.819 Å
α = 60.00°, β = 60.00°, γ = 60.00°
Element x y z (fractional)
Nb1 0.000 0.000 0.000
Sn1 0.250 0.250 0.250
Tl1 0.750 0.750 0.750


4.
Entry from OQMD via LeMat-Bulk: a relaxed NbTl2Sn crystal (GGA-PBE).

- final energy (eV per atom) = -4.08
- V (Å³ per atom) = 25.02

a = 5.212 Å, b = 5.212 Å, c = 5.212 Å
α = 60.00°, β = 60.00°, γ = 60.00°
Element x y z (fractional)
Nb1 0.000 0.000 0.000
Sn1 0.750 0.750 0.750
Tl1 0.250 0.250 0.250
Tl2 0.500 0.500 0.500


5.
Entry from OQMD via LeMat-Bulk: a relaxed NbTlSn crystal (GGA-PBE).

- distance to the lowest polymorph of the same formula (meV per atom) = 264
- V (Å³ per atom) = 26.85

a = 4.848 Å, b = 4.848 Å, c = 4.848 Å
α = 60.00°, β = 60.00°, γ = 60.00°
Element x y z (fractional)
Nb1 0.250 0.250 0.250
Sn1 0.000 0.000 0.000
Tl1 0.750 0.750 0.750


6.
Entry from OQMD via LeMat-Bulk: a relaxed TmNbSn crystal (GGA-PBE).

- final energy (eV per atom) = -5.47
- V (Å³ per atom) = 28.46

a = 4.942 Å, b = 4.942 Å, c = 4.942 Å
α = 60.00°, β = 60.00°, γ = 60.00°
Element x y z (fractional)
Nb1 0.250 0.250 0.250
Sn1 0.750 0.750 0.750
Tm1 0.000 0.000 0.000


7.
Entry from OQMD via LeMat-Bulk: a relaxed TmNbSn crystal (GGA-PBE).

- final energy (eV per atom) = -5.77
- V (Å³ per atom) = 27.30

a = 4.875 Å, b = 4.875 Å, c = 4.875 Å
α = 60.00°, β = 60.00°, γ = 60.00°
Element x y z (fractional)
Nb1 0.000 0.000 0.000
Sn1 0.250 0.250 0.250
Tm1 0.750 0.750 0.750


8.
Entry from OQMD via LeMat-Bulk: a relaxed NbSnW crystal (GGA-PBE).

- distance to the lowest polymorph of the same formula (meV per atom) = 0
- V (Å³ per atom) = 22.04

a = 4.539 Å, b = 4.539 Å, c = 4.539 Å
α = 60.00°, β = 60.00°, γ = 60.00°
Element x y z (fractional)
Nb1 0.250 0.250 0.250
Sn1 0.750 0.750 0.750
W1 0.000 0.000 0.000


9.
Entry from OQMD via LeMat-Bulk: a relaxed NbSnW2 crystal (GGA-PBE).

- final energy (eV per atom) = -9.66
- V (Å³ per atom) = 17.65

a = 4.639 Å, b = 4.639 Å, c = 4.639 Å
α = 60.00°, β = 60.00°, γ = 60.00°
Element x y z (fractional)
Nb1 0.250 0.250 0.250
Sn1 0.500 0.500 0.500
W1 0.000 0.000 0.000
W2 0.750 0.750 0.750


10.
Entry from OQMD via LeMat-Bulk: a relaxed Y2NbSn crystal (GGA-PBE).

- final energy (eV per atom) = -6.75
- V (Å³ per atom) = 23.89

a = 5.132 Å, b = 5.132 Å, c = 5.132 Å
α = 60.00°, β = 60.00°, γ = 60.00°
Element x y z (fractional)
Nb1 0.250 0.250 0.250
Sn1 0.500 0.500 0.500
Y1 0.000 0.000 0.000
Y2 0.750 0.750 0.750


11.
Entry from OQMD via LeMat-Bulk: a relaxed Nb2ZnSn crystal (GGA-PBE).

- final energy (eV per atom) = -6.13
- V (Å³ per atom) = 18.36

a = 4.701 Å, b = 4.701 Å, c = 4.701 Å
α = 60.00°, β = 60.00°, γ = 60.00°
Element x y z (fractional)
Nb1 0.000 0.000 0.000
Nb2 0.750 0.750 0.750
Sn1 0.500 0.500 0.500
Zn1 0.250 0.250 0.250


12.
Entry from OQMD via LeMat-Bulk: a relaxed NbZnSn crystal (GGA-PBE).

- final energy (eV per atom) = -4.63
- V (Å³ per atom) = 22.70

a = 4.584 Å, b = 4.584 Å, c = 4.584 Å
α = 60.00°, β = 60.00°, γ = 60.00°
Element x y z (fractional)
Nb1 0.000 0.000 0.000
Sn1 0.250 0.250 0.250
Zn1 0.750 0.750 0.750


13.
Entry from OQMD via LeMat-Bulk: a relaxed NbZnSn crystal (GGA-PBE).

- final energy (eV per atom) = -4.53
- V (Å³ per atom) = 22.39

a = 4.563 Å, b = 4.563 Å, c = 4.563 Å
α = 60.00°, β = 60.00°, γ = 60.00°
Element x y z (fractional)
Nb1 0.250 0.250 0.250
Sn1 0.000 0.000 0.000
Zn1 0.750 0.750 0.750


14.
Entry from OQMD via LeMat-Bulk: a relaxed NbZn2Sn crystal (GGA-PBE).

- final energy (eV per atom) = -3.78
- V (Å³ per atom) = 18.38

a = 4.702 Å, b = 4.702 Å, c = 4.702 Å
α = 60.00°, β = 60.00°, γ = 60.00°
Element x y z (fractional)
Nb1 0.250 0.250 0.250
Sn1 0.500 0.500 0.500
Zn1 0.000 0.000 0.000
Zn2 0.750 0.750 0.750


15.
Entry from OQMD via LeMat-Bulk: a relaxed NbZnSn2 crystal (GGA-PBE).

- final energy (eV per atom) = -4.34
- V (Å³ per atom) = 21.57

a = 4.960 Å, b = 4.960 Å, c = 4.960 Å
α = 60.00°, β = 60.00°, γ = 60.00°
Element x y z (fractional)
Nb1 0.750 0.750 0.750
Sn1 0.000 0.000 0.000
Sn2 0.250 0.250 0.250
Zn1 0.500 0.500 0.500


16.
Entry from OQMD via LeMat-Bulk: a relaxed ZrNbSn2 crystal (GGA-PBE).

- final energy (eV per atom) = -6.46
- V (Å³ per atom) = 21.88

a = 4.984 Å, b = 4.984 Å, c = 4.984 Å
α = 60.00°, β = 60.00°, γ = 60.00°
Element x y z (fractional)
Nb1 0.500 0.500 0.500
Sn1 0.000 0.000 0.000
Sn2 0.750 0.750 0.750
Zr1 0.250 0.250 0.250


17.
Entry from OQMD via LeMat-Bulk: a relaxed Zr2NbSn crystal (GGA-PBE).

- final energy (eV per atom) = -7.91
- V (Å³ per atom) = 21.01

a = 4.917 Å, b = 4.917 Å, c = 4.917 Å
α = 60.00°, β = 60.00°, γ = 60.00°
Element x y z (fractional)
Nb1 0.250 0.250 0.250
Sn1 0.500 0.500 0.500
Zr1 0.000 0.000 0.000
Zr2 0.750 0.750 0.750


18.
Entry from OQMD via LeMat-Bulk: a relaxed ZrNb2Sn2 crystal (GGA-PBE).

- final energy (eV per atom) = -6.97
- V (Å³ per atom) = 22.77

a = 7.370 Å, b = 7.370 Å, c = 7.370 Å
α = 147.71°, β = 147.71°, γ = 46.31°
Element x y z (fractional)
Nb1 0.407 0.407 0.000
Nb2 0.593 0.593 0.000
Sn1 0.750 0.250 0.500
Sn2 0.250 0.750 0.500
Zr1 0.000 0.000 0.000


19.
Entry from OQMD via LeMat-Bulk: a relaxed SrNb crystal (GGA-PBE).

- distance to the lowest polymorph of the same formula (meV per atom) = 1393
- V (Å³ per atom) = 55.78

a = 5.403 Å, b = 5.403 Å, c = 5.403 Å
α = 60.00°, β = 60.00°, γ = 60.00°
Element x y z (fractional)
Nb1 0.000 0.000 0.000
Sr1 0.250 0.250 0.250


20.
Entry from OQMD via LeMat-Bulk: a relaxed Sr2Nb crystal (GGA-PBE).

- distance to the lowest polymorph of the same formula (meV per atom) = 540
- V (Å³ per atom) = 134.43

a = 10.449 Å, b = 10.449 Å, c = 10.449 Å
α = 60.00°, β = 60.00°, γ = 60.00°
Element x y z (fractional)
Nb1 0.250 0.250 0.250
Nb2 0.500 0.500 0.500
Sr1 0.375 0.375 0.375
Sr2 0.875 0.375 0.375
Sr3 0.375 0.875 0.375
Sr4 0.375 0.375 0.875